Entry 1:
DFT (PBE) results for ZnFe after structural relaxation.

```
8
Lattice="4.118 0.000 0.000 -2.059 3.566 0.000 0.000 0.000 7.398" Properties=species:S:1:pos:R:3 pbc="T T T"
Zn 0.000 0.000 1.850
Zn 0.000 0.000 5.549
Zn 0.000 2.377 1.850
Zn 2.059 1.189 5.549
Fe 0.000 2.377 4.297
Fe 0.000 2.377 6.800
Fe 2.059 1.189 0.598
Fe 2.059 1.189 3.101
```

Results
- total DFT energy (no corrections) (eV per formula unit) = -9.22
- space-group type = P6_3/mmc, No. 194
- size of the total moment (μB/cell) = 9.05

Entry 2:
DFT (PBE) results for ZnFe5 after structural relaxation.

```
6
Lattice="2.021 -6.065 0.000 2.021 6.065 0.000 0.000 0.000 2.915" Properties=species:S:1:pos:R:3 pbc="T T T"
Zn 0.000 0.000 0.000
Fe 2.021 3.990 1.457
Fe 2.021 2.000 0.000
Fe 2.021 0.000 1.457
Fe 2.021 -2.000 0.000
Fe 2.021 -3.990 1.457
```

Results
- total DFT energy (no corrections) (eV per formula unit) = -43.41
- space-group type = Cmmm, No. 65
- size of the total moment (μB/cell) = 11.78